A geometry-optimized Pm2TeS structure. Source: Alexandria via LeMat-Bulk, functional PBE-GGA.

```
data_Pm2TeS
_chemical_formula_sum 'Pm2 Te1 S1'
_space_group_name_H-M_alt 'P 1'
_space_group_IT_number 1
_cell_length_a 4.138
_cell_length_b 4.138
_cell_length_c 7.704
_cell_angle_alpha 74.42
_cell_angle_beta 74.42
_cell_angle_gamma 60.00
loop_
_space_group_symop_operation_xyz
'x,y,z'
loop_
_atom_site_label
_atom_site_type_symbol
_atom_site_fract_x
_atom_site_fract_y
_atom_site_fract_z
Pm1 Pm 0.263 0.263 0.210
Pm2 Pm 0.069 0.069 0.792
S1 S 0.668 0.668 0.996
Te1 Te 0.499 0.499 0.502
```

- ΔE to the lowest computed polymorph: 0.0 meV per atom
- Formation energy (no corrections): -1.75 eV/atom